The following is a DFT calculation (PBE-GGA) of a relaxed structure of LiLuVRu.

The structure in POSCAR format:
```
LiLuVRu
1.0
-0.847 -0.208 4.447
-4.239 -0.633 1.472
-1.173 -3.943 1.901
Li Lu V Ru
1 1 1 1
Direct
0.250 0.250 0.250
0.500 0.500 0.500
0.000 0.000 0.000
0.750 0.750 0.750
```

Output
Spin magnetization in Bohr magnetons per cell: 1.21
Formation energy from the elements in eV/atom: -0.029